i) {"formula": "AcHfSb2", "functional": "GGA-PBE", "state": "optimized geometry", "cell": [[4.400, 0.000, 0.000], [2.200, 3.811, 0.000], [2.200, 1.270, 9.732]], "species": ["Sb", "Sb", "Hf", "Ac"], "frac_coords": [[0.907, 0.907, 0.280], [0.093, 0.093, 0.720], [0.000, 0.000, 0.000], [0.500, 0.500, 0.500]]}

ii) {"formula": "AcHfSb2", "functional": "GGA-PBE", "state": "optimized geometry", "cell": [[-1.224, -3.444, -3.988], [3.415, -4.002, -1.262], [-1.294, -5.125, 1.153]], "species": ["Ac", "Sb", "Sb", "Hf"], "frac_coords": [[0.000, 0.000, 0.000], [0.250, 0.250, 0.250], [0.750, 0.750, 0.750], [0.500, 0.500, 0.500]]}

Which structure loses on stability? i) does.

i) {"formula": "AcHfSb3", "functional": "GGA-PBE", "state": "optimized geometry", "cell": [[5.512, 0.000, 0.000], [0.000, 5.512, 0.000], [0.000, 0.000, 5.512]], "species": ["Sb", "Hf", "Sb", "Ac", "Sb"], "frac_coords": [[0.500, 0.000, 0.000], [0.000, 0.000, 0.000], [0.000, 0.000, 0.500], [0.500, 0.500, 0.500], [0.000, 0.500, 0.000]]}

ii) {"formula": "AcHfSb3", "functional": "GGA-PBE", "state": "optimized geometry", "cell": [[-0.109, 6.223, -1.843], [-3.874, 1.432, 5.064], [11.375, 2.561, 7.977]], "species": ["Hf", "Sb", "Sb", "Sb", "Sb", "Sb", "Sb", "Sb", "Ac", "Hf", "Sb", "Ac", "Ac", "Sb", "Hf", "Sb", "Sb", "Sb", "Hf", "Ac"], "frac_coords": [[0.500, 0.750, 0.915], [0.750, 0.988, 0.778], [0.750, 0.386, 0.925], [0.250, 0.512, 0.778], [0.250, 0.614, 0.075], [0.000, 0.250, 0.498], [0.250, 0.114, 0.925], [0.500, 0.250, 0.498], [0.250, 0.008, 0.684], [0.000, 0.750, 0.915], [0.750, 0.488, 0.222], [0.750, 0.492, 0.684], [0.250, 0.508, 0.316], [0.000, 0.750, 0.502], [0.000, 0.250, 0.085], [0.500, 0.750, 0.502], [0.750, 0.886, 0.075], [0.250, 0.012, 0.222], [0.500, 0.250, 0.085], [0.750, 0.992, 0.316]]}

Which structure loses on stability? i) does.

i) {"formula": "Ac3HfSe6", "functional": "GGA-PBE", "state": "optimized geometry", "cell": [[-4.073, -2.949, -5.380], [-1.165, -7.933, 5.230], [-7.481, 5.298, 2.759]], "species": ["Ac", "Hf", "Ac", "Se", "Se", "Se", "Se", "Se", "Se", "Se", "Se", "Se", "Ac", "Ac", "Se", "Se", "Se", "Hf", "Ac", "Ac"], "frac_coords": [[0.477, 0.277, 0.083], [0.022, 0.191, 0.809], [0.907, 0.600, 0.400], [0.687, 0.577, 0.100], [0.181, 0.778, 0.222], [0.693, 0.638, 0.684], [0.187, 0.100, 0.577], [0.193, 0.362, 0.316], [0.187, 0.423, 0.900], [0.681, 0.222, 0.778], [0.693, 0.316, 0.362], [0.687, 0.900, 0.423], [0.407, 0.400, 0.600], [0.477, 0.917, 0.723], [0.193, 0.684, 0.638], [0.160, 0.031, 0.969], [0.660, 0.969, 0.031], [0.522, 0.809, 0.191], [0.977, 0.723, 0.917], [0.977, 0.083, 0.277]]}

ii) {"formula": "Ac3HfSe6", "functional": "GGA-PBE", "state": "optimized geometry", "cell": [[-5.410, -2.344, -6.347], [7.171, -3.739, -3.103], [-2.157, -6.128, 5.730]], "species": ["Se", "Ac", "Ac", "Se", "Se", "Se", "Ac", "Se", "Se", "Se", "Se", "Se", "Ac", "Ac", "Se", "Se", "Se", "Hf", "Ac", "Hf"], "frac_coords": [[0.063, 0.974, 0.308], [0.293, 0.113, 0.624], [0.624, 0.293, 0.113], [0.433, 0.801, 0.568], [0.937, 0.026, 0.692], [0.568, 0.433, 0.801], [0.113, 0.624, 0.293], [0.801, 0.568, 0.433], [0.199, 0.432, 0.567], [0.308, 0.063, 0.974], [0.567, 0.199, 0.432], [0.432, 0.567, 0.199], [0.707, 0.887, 0.376], [0.887, 0.376, 0.707], [0.026, 0.692, 0.937], [0.692, 0.937, 0.026], [0.974, 0.308, 0.063], [0.500, 0.500, 0.500], [0.376, 0.707, 0.887], [0.000, 0.000, 0.000]]}

Which structure loses on stability? i) does.

i) {"formula": "AcHfTe2", "functional": "GGA-PBE", "state": "optimized geometry", "cell": [[3.744, 0.000, 0.000], [0.000, 3.744, 0.000], [0.000, 0.000, 7.827]], "species": ["Ac", "Te", "Te", "Hf"], "frac_coords": [[0.500, 0.500, 0.500], [0.000, 0.000, 0.785], [0.000, 0.000, 0.215], [0.500, 0.500, 0.000]]}

ii) {"formula": "AcHfTe2", "functional": "GGA-PBE", "state": "optimized geometry", "cell": [[4.013, 0.000, 0.000], [2.006, 3.475, 0.000], [2.006, 1.158, 10.210]], "species": ["Te", "Te", "Ac", "Hf"], "frac_coords": [[0.109, 0.109, 0.672], [0.891, 0.891, 0.328], [0.000, 0.000, 0.000], [0.500, 0.500, 0.500]]}

Which structure loses on stability? ii) does.

i) {"formula": "AcHfZn2", "functional": "GGA-PBE", "state": "optimized geometry", "cell": [[3.566, 0.000, 0.000], [1.783, 3.088, 0.000], [1.783, 1.029, 9.027]], "species": ["Zn", "Ac", "Zn", "Hf"], "frac_coords": [[0.738, 0.738, 0.786], [0.500, 0.500, 0.500], [0.262, 0.262, 0.214], [0.000, 0.000, 0.000]]}

ii) {"formula": "AcHfZn2", "functional": "GGA-PBE", "state": "optimized geometry", "cell": [[-2.439, 1.295, 2.241], [-2.409, -2.264, -1.314], [1.957, -4.993, 5.015]], "species": ["Zn", "Ac", "Hf", "Zn"], "frac_coords": [[0.000, 0.000, 0.809], [0.500, 0.500, 0.500], [0.500, 0.500, 0.000], [0.000, 0.000, 0.191]]}

iii) {"formula": "AcHfZn2", "functional": "GGA-PBE", "state": "optimized geometry", "cell": [[3.576, 0.000, 0.000], [0.000, 5.121, 0.000], [0.000, 0.000, 5.121]], "species": ["Zn", "Hf", "Ac", "Zn"], "frac_coords": [[0.000, 0.000, 0.500], [0.500, 0.000, 0.000], [0.500, 0.500, 0.500], [0.000, 0.500, 0.000]]}

Which structure loses on stability? i) does.

i) {"formula": "AcHg6", "functional": "GGA-PBE", "state": "optimized geometry", "cell": [[-1.854, 0.298, -4.806], [-4.170, -2.675, 1.443], [-3.553, 6.496, 1.773]], "species": ["Hg", "Hg", "Ac", "Hg", "Hg", "Hg", "Hg"], "frac_coords": [[0.000, 0.000, 0.500], [0.500, 0.000, 0.287], [0.000, 0.000, 0.000], [0.500, 0.500, 0.000], [0.000, 0.500, 0.713], [0.500, 0.000, 0.713], [0.000, 0.500, 0.287]]}

ii) {"formula": "AcHg6", "functional": "GGA-PBE", "state": "optimized geometry", "cell": [[6.827, 0.000, 0.000], [-2.276, 6.437, 0.000], [-2.276, -3.218, 5.574]], "species": ["Hg", "Hg", "Hg", "Hg", "Ac", "Hg", "Hg"], "frac_coords": [[0.750, 0.500, 0.250], [0.250, 0.500, 0.750], [0.500, 0.250, 0.750], [0.750, 0.250, 0.500], [0.000, 0.000, 0.000], [0.250, 0.750, 0.500], [0.500, 0.750, 0.250]]}

Which structure loses on stability? ii) does.

i) {"formula": "Ac5Hg", "functional": "GGA-PBE", "state": "optimized geometry", "cell": [[3.989, 0.000, 0.956], [1.451, 9.185, 2.743], [0.415, 0.733, 7.069]], "species": ["Ac", "Ac", "Ac", "Ac", "Hg", "Ac"], "frac_coords": [[0.696, 0.610, 0.998], [0.026, 0.414, 0.534], [0.362, 0.810, 0.466], [0.336, 0.251, 0.077], [0.693, 0.113, 0.502], [0.054, 0.968, 0.924]]}

ii) {"formula": "Ac5Hg", "functional": "GGA-PBE", "state": "optimized geometry", "cell": [[-0.913, 5.313, 0.748], [-2.933, -1.117, 4.353], [8.287, 1.065, 2.549]], "species": ["Ac", "Ac", "Ac", "Ac", "Hg", "Ac"], "frac_coords": [[0.000, 0.663, 0.326], [0.500, 0.164, 0.327], [0.500, 0.836, 0.673], [0.500, 0.500, 0.000], [0.000, 0.000, 0.000], [0.000, 0.337, 0.674]]}

Which structure loses on stability? ii) does.

i) {"formula": "AcHg2", "functional": "GGA-PBE", "state": "optimized geometry", "cell": [[4.198, 0.000, 0.000], [0.000, 4.198, 0.000], [-2.099, -2.099, 5.196]], "species": ["Hg", "Hg", "Ac"], "frac_coords": [[0.670, 0.670, 0.341], [0.330, 0.330, 0.659], [0.000, 0.000, 0.000]]}

ii) {"formula": "AcHg2", "functional": "GGA-PBE", "state": "optimized geometry", "cell": [[6.245, 0.000, 0.000], [3.123, 5.409, 0.000], [3.123, 1.803, 5.099]], "species": ["Hg", "Hg", "Hg", "Ac", "Ac", "Hg"], "frac_coords": [[0.125, 0.625, 0.625], [0.625, 0.625, 0.625], [0.625, 0.625, 0.125], [0.250, 0.250, 0.250], [0.000, 0.000, 0.000], [0.625, 0.125, 0.625]]}

Which structure loses on stability? ii) does.

i) {"formula": "Ac2Hg", "functional": "GGA-PBE", "state": "optimized geometry", "cell": [[4.045, 0.001, 0.003], [0.001, 4.045, 0.003], [-2.023, -2.023, 6.878]], "species": ["Ac", "Ac", "Hg"], "frac_coords": [[0.146, 0.146, 0.292], [0.854, 0.854, 0.708], [0.500, 0.500, 0.000]]}

ii) {"formula": "Ac2Hg", "functional": "GGA-PBE", "state": "optimized geometry", "cell": [[-6.541, 1.536, 2.127], [4.157, -3.801, 4.236], [2.531, 5.122, 0.124]], "species": ["Hg", "Ac", "Ac", "Ac", "Ac", "Hg"], "frac_coords": [[0.865, 0.135, 0.250], [0.589, 0.820, 0.615], [0.820, 0.589, 0.115], [0.180, 0.411, 0.885], [0.411, 0.180, 0.385], [0.135, 0.865, 0.750]]}

Which structure loses on stability? ii) does.

i) {"formula": "Ac2Hg13", "functional": "GGA-PBE", "state": "optimized geometry", "cell": [[-2.173, 3.434, -7.430], [-7.420, -1.978, -3.570], [-6.300, 5.939, -0.239]], "species": ["Hg", "Hg", "Hg", "Ac", "Hg", "Hg", "Hg", "Hg", "Hg", "Hg", "Ac", "Hg", "Hg", "Hg", "Hg"], "frac_coords": [[0.811, 0.811, 0.212], [0.811, 0.166, 0.212], [0.649, 0.649, 0.664], [0.651, 0.651, 0.046], [0.962, 0.351, 0.336], [0.351, 0.962, 0.336], [0.189, 0.189, 0.788], [0.038, 0.649, 0.664], [0.351, 0.351, 0.336], [0.500, 0.500, 0.500], [0.349, 0.349, 0.954], [0.649, 0.038, 0.664], [0.834, 0.189, 0.788], [0.189, 0.834, 0.788], [0.166, 0.811, 0.212]]}

ii) {"formula": "Ac2Hg13", "functional": "GGA-PBE", "state": "optimized geometry", "cell": [[10.417, 0.775, 0.878], [4.804, 6.546, 1.684], [-0.974, -0.118, 6.312]], "species": ["Hg", "Hg", "Hg", "Hg", "Hg", "Hg", "Hg", "Ac", "Hg", "Hg", "Hg", "Hg", "Hg", "Ac", "Hg"], "frac_coords": [[0.500, 0.500, 0.500], [0.866, 0.851, 0.022], [0.076, 0.580, 0.676], [0.101, 0.868, 0.323], [0.299, 0.994, 0.574], [0.134, 0.149, 0.978], [0.924, 0.420, 0.324], [0.729, 0.636, 0.763], [0.899, 0.132, 0.677], [0.309, 0.676, 0.906], [0.701, 0.006, 0.426], [0.691, 0.324, 0.094], [0.526, 0.819, 0.203], [0.271, 0.364, 0.237], [0.474, 0.181, 0.797]]}

Which structure loses on stability? i) does.

i) {"formula": "AcHo2Hg", "functional": "GGA-PBE", "state": "optimized geometry", "cell": [[3.737, 0.000, 0.000], [0.000, 3.737, 0.000], [0.000, 0.000, 9.009]], "species": ["Ho", "Hg", "Ac", "Ho"], "frac_coords": [[0.000, 0.000, 0.798], [0.500, 0.500, 0.000], [0.500, 0.500, 0.500], [0.000, 0.000, 0.202]]}

ii) {"formula": "AcHo2Hg", "functional": "GGA-PBE", "state": "optimized geometry", "cell": [[3.760, 0.000, 0.000], [1.880, 3.256, 0.000], [1.880, 1.085, 10.709]], "species": ["Ac", "Ho", "Ho", "Hg"], "frac_coords": [[0.500, 0.500, 0.499], [0.263, 0.263, 0.212], [0.071, 0.071, 0.788], [0.666, 0.666, 0.001]]}

iii) {"formula": "AcHo2Hg", "functional": "GGA-PBE", "state": "optimized geometry", "cell": [[3.738, 0.000, 0.000], [1.869, 3.237, 0.000], [1.869, 1.079, 10.691]], "species": ["Ac", "Ho", "Hg", "Ho"], "frac_coords": [[0.500, 0.500, 0.500], [0.262, 0.262, 0.215], [0.000, 0.000, 0.000], [0.738, 0.738, 0.785]]}

iv) {"formula": "AcHo2Hg", "functional": "GGA-PBE", "state": "optimized geometry", "cell": [[-1.777, -4.503, 2.725], [2.644, -1.697, 4.581], [-2.427, 0.538, 4.968]], "species": ["Ac", "Hg", "Ho", "Ho"], "frac_coords": [[0.000, 0.000, 0.000], [0.500, 0.500, 0.500], [0.250, 0.250, 0.250], [0.750, 0.750, 0.750]]}

Which structure loses on stability? iv) does.